CaB2Cl | PBE-GGA | relaxed

The structure belongs to space group I-42d (No. 122); the cell edges are 7.773, 7.773 and 4.917 Å and the angles 90.00°, 90.00° and 90.00°. The inequivalent atoms are Ca at (0.000, 0.000, 0.000), B at (0.247, 0.250, 0.625) and Cl at (0.000, 0.000, 0.500).

The value obtained for the magnetization is 0.0 μB/f.u. Its crystal system is tetragonal. Its density of states at the Fermi level is 0.58 states/eV per atom. Its total energy is -3.170 eV/atom. The value obtained for the formation energy from raw total energies is 436 kJ/mol of formula units.